one | First-principles (PBE-GGA) data for a geometry-optimized K2WAu structure, as listed in Alexandria via LeMat-Bulk.

CIF file:
```
data_K2WAu
_symmetry_space_group_name_H-M 'R -3 m'
_symmetry_Int_Tables_number 166
_symmetry_space_group_name_Hall '-R 3 2"'
_cell_length_a 3.0262
_cell_length_b 3.0262
_cell_length_c 34.8665
_cell_angle_alpha 90.00
_cell_angle_beta 90.00
_cell_angle_gamma 120.00
loop_
_atom_site_label
_atom_site_type_symbol
_atom_site_fract_x
_atom_site_fract_y
_atom_site_fract_z
K1 K 0.0000 0.0000 0.2465
W1 W 0.0000 0.0000 0.0000
Au1 Au 0.0000 0.0000 0.5000
```

Output
Total magnetization   1.03 Bohr magnetons per cell
Theoretical density   8.269 g/cm3


two | First-principles (PBE-GGA) data for a geometry-optimized K2WAu structure, as listed in Alexandria via LeMat-Bulk.

CIF file:
```
data_K2WAu
_symmetry_space_group_name_H-M 'C m m m'
_symmetry_Int_Tables_number 65
_symmetry_space_group_name_Hall '-C 2 2'
_cell_length_a 6.108
_cell_length_b 11.394
_cell_length_c 2.773
_cell_angle_alpha 90.00
_cell_angle_beta 90.00
_cell_angle_gamma 90.00
loop_
_atom_site_label
_atom_site_type_symbol
_atom_site_fract_x
_atom_site_fract_y
_atom_site_fract_z
K1 K 0.250 0.250 0.000
W1 W 0.000 0.000 0.500
Au1 Au 0.000 0.500 0.500
```

Output
Total magnetization   1.36 Bohr magnetons per cell
Theoretical density   7.900 g/cm3


three | First-principles (PBE-GGA) data for a geometry-optimized K2WAu structure, as listed in Alexandria via LeMat-Bulk.

CIF file:
```
data_K2WAu
_symmetry_space_group_name_H-M 'F m -3 m'
_symmetry_Int_Tables_number 225
_symmetry_space_group_name_Hall '-F 4 2 3'
_cell_length_a 8.115
_cell_length_b 8.115
_cell_length_c 8.115
_cell_angle_alpha 90.00
_cell_angle_beta 90.00
_cell_angle_gamma 90.00
loop_
_atom_site_label
_atom_site_type_symbol
_atom_site_fract_x
_atom_site_fract_y
_atom_site_fract_z
K1 K 0.250 0.250 0.250
W1 W 0.000 0.000 0.000
Au1 Au 0.000 0.000 0.500
```

Output
Total magnetization   20.22 Bohr magnetons per cell
Theoretical density   5.706 g/cm3


one has the most favorable energy; the next structure is 144 meV/atom above.


one | First-principles (PBE-GGA) data for a geometry-optimized K2YAu structure, as listed in Alexandria via LeMat-Bulk.

CIF file:
```
data_K2YAu
_symmetry_space_group_name_H-M 'F m -3 m'
_symmetry_Int_Tables_number 225
_symmetry_space_group_name_Hall '-F 4 2 3'
_cell_length_a 8.290
_cell_length_b 8.290
_cell_length_c 8.290
_cell_angle_alpha 90.00
_cell_angle_beta 90.00
_cell_angle_gamma 90.00
loop_
_atom_site_label
_atom_site_type_symbol
_atom_site_fract_x
_atom_site_fract_y
_atom_site_fract_z
K1 K 0.250 0.250 0.250
Y1 Y 0.000 0.000 0.000
Au1 Au 0.000 0.000 0.500
```

Output
Total magnetization   5.50 Bohr magnetons per cell
Theoretical density   4.245 g/cm3


two | First-principles (PBE-GGA) data for a geometry-optimized K2YAu structure, as listed in Alexandria via LeMat-Bulk.

CIF file:
```
data_K2YAu
_symmetry_space_group_name_H-M 'P m m m'
_symmetry_Int_Tables_number 47
_symmetry_space_group_name_Hall '-P 2 2'
_cell_length_a 4.332
_cell_length_b 5.053
_cell_length_c 6.553
_cell_angle_alpha 90.00
_cell_angle_beta 90.00
_cell_angle_gamma 90.00
loop_
_atom_site_label
_atom_site_type_symbol
_atom_site_fract_x
_atom_site_fract_y
_atom_site_fract_z
K1 K 0.000 0.000 0.222
Y1 Y 0.500 0.500 0.500
Au1 Au 0.500 0.500 0.000
```

Output
Total magnetization   0.83 Bohr magnetons per cell
Theoretical density   4.215 g/cm3


two has the most favorable energy; the next structure is 275 meV/atom above.